# 1
Here is a relaxed Er2TcH6 crystal from the Alexandria database. Energies are from GGA-PBE.

Structure (extended XYZ):
```
9
Lattice="0.000 3.512 3.512 3.512 0.000 3.512 3.512 3.512 0.000" Properties=species:S:1:pos:R:3 pbc="T T T"
Er 1.756 1.756 1.756
Er 5.268 5.268 5.268
Tc 0.000 0.000 0.000
H 3.512 3.512 1.781
H 3.512 1.781 3.512
H 5.243 3.512 3.512
H 1.781 3.512 3.512
H 3.512 5.243 3.512
H 3.512 3.512 5.243
```

Output
magnetic moment: 0.000 μB per formula unit
SG: Fm-3m (225)



# 2
Here is a relaxed Ca4TlCdHg2 crystal from the Alexandria database. Energies are from GGA-PBE.

Structure (extended XYZ):
```
8
Lattice="2.701 1.560 8.873 -2.701 1.560 8.873 0.000 -3.119 8.873" Properties=species:S:1:pos:R:3 pbc="T T T"
Ca 0.000 0.000 3.325
Ca 0.000 0.000 9.984
Ca 0.000 0.000 16.636
Ca 0.000 0.000 23.295
Tl 0.000 0.000 0.000
Cd 0.000 0.000 13.310
Hg 0.000 0.000 6.618
Hg 0.000 0.000 20.002
```

Output
magnetic moment: 0.000 μB per formula unit
SG: R-3m (166)
formation energy: -0.48 eV per atom



# 3
Here is a relaxed As2Pb2S crystal from the Alexandria database. Energies are from GGA-PBE.

Structure (extended XYZ):
```
10
Lattice="7.625 0.000 0.000 0.000 7.625 0.000 0.000 0.000 4.367" Properties=species:S:1:pos:R:3 pbc="T T T"
As 1.334 2.479 0.000
As 2.479 6.291 0.000
As 5.147 1.334 0.000
As 6.291 5.147 0.000
Pb 1.147 4.960 2.184
Pb 2.665 1.147 2.184
Pb 4.960 6.478 2.184
Pb 6.478 2.665 2.184
S 0.000 0.000 0.000
S 3.813 3.813 0.000
```

Output
magnetic moment: 0.000 μB per formula unit
SG: P4/mbm (127)
energy above the most stable polymorph in this dataset: 0.490 eV/f.u.



# 4
Here is a relaxed Tm5AlIn4 crystal from the Alexandria database. Energies are from GGA-PBE.

Structure (extended XYZ):
```
10
Lattice="3.603 0.000 0.000 0.000 3.603 0.000 0.000 0.000 19.310" Properties=species:S:1:pos:R:3 pbc="T T T"
Tm 0.000 0.000 0.000
Tm 0.000 0.000 3.979
Tm 0.000 0.000 7.901
Tm 0.000 0.000 11.409
Tm 0.000 0.000 15.331
Al 1.801 1.801 9.655
In 1.801 1.801 1.993
In 1.801 1.801 5.936
In 1.801 1.801 13.374
In 1.801 1.801 17.317
```

Output
magnetic moment: 0.000 μB per formula unit
SG: P4/mmm (123)
formation energy: -0.41 eV per atom



# 5
Here is a relaxed TiCrTe4 crystal from the Alexandria database. Energies are from GGA-PBE.

Structure (extended XYZ):
```
6
Lattice="6.305 0.000 0.000 0.000 3.773 0.000 -2.146 0.000 7.355" Properties=species:S:1:pos:R:3 pbc="T T T"
Ti 0.000 0.000 0.000
Cr 3.152 1.887 0.000
Te 1.058 1.887 1.743
Te 0.024 0.000 5.657
Te 4.135 0.000 1.698
Te 3.101 1.887 5.612
```

Output
magnetic moment: 2.582 μB per formula unit
SG: P2/m (10)



# 6
Here is a relaxed LaPm12Ho3 crystal from the Alexandria database. Energies are from GGA-PBE.

Structure (extended XYZ):
```
16
Lattice="5.139 0.000 0.000 0.000 5.139 0.000 0.000 0.000 20.554" Properties=species:S:1:pos:R:3 pbc="T T T"
La 0.000 0.000 0.000
Pm 0.000 2.569 2.633
Pm 0.000 2.569 7.728
Pm 0.000 2.569 12.826
Pm 0.000 2.569 17.921
Pm 2.569 0.000 2.633
Pm 2.569 0.000 7.728
Pm 2.569 0.000 12.826
Pm 2.569 0.000 17.921
Pm 2.569 2.569 0.000
Pm 2.569 2.569 5.201
Pm 2.569 2.569 10.277
Pm 2.569 2.569 15.353
Ho 0.000 0.000 5.176
Ho 0.000 0.000 10.277
Ho 0.000 0.000 15.378
```

Output
magnetic moment: 0.000 μB per formula unit
SG: P4/mmm (123)
formation energy: 0.02 eV per atom



Number 1: E_tot -4.9443 eV per atom. Number 2: E_tot -1.9653 eV per atom. Number 3: E_tot -3.9552 eV per atom. Number 4: E_tot -4.1198 eV per atom. Number 5: E_tot -5.4505 eV per atom. Number 6: E_tot -4.7126 eV per atom.